1.
The following is a DFT calculation (PBE-GGA) of crystalline PdPt6Au at its relaxed geometry.

Results
The energy relative to the elements is 56 meV per atom. The calculation puts the total energy at -44.3 eV for the cell shown.

abc: 4.7276 5.5888 5.5888
angles: 120.12 90.00 90.00
Closest atoms and distances in Å follow each position.
Atoms (fractional coordinates):
Pd1 0.5000 0.6699 0.3301  10 Pt 2.76-2.89, 2 Au 2.81
Pt1 0.5000 0.6673 0.8226  8 Pt 2.73-2.87, 2 Pd 2.76-2.83, 2 Au 2.91
Pt2 0.5000 0.1774 0.3327  8 Pt 2.73-2.87, 2 Pd 2.76-2.83, 2 Au 2.91
Pt3 0.5000 0.1700 0.8300  10 Pt 2.79-2.87, 2 Pd 2.79
Pt4 0.0000 0.8326 0.6746  8 Pt 2.75-2.87, 2 Au 2.79, 2 Pd 2.89
Pt5 0.0000 0.3254 0.1674  8 Pt 2.75-2.87, 2 Au 2.79, 2 Pd 2.89
Pt6 0.0000 0.3301 0.6699  2 Au 2.79, 10 Pt 2.79-2.87
Au1 0.0000 0.8277 0.1723  10 Pt 2.79-2.91, 2 Pd 2.81

***

2.
The following is a DFT calculation (PBE-GGA) of crystalline Pd7Pt3Au at its relaxed geometry.

Results
The energy relative to the elements is 76 meV per atom. The calculation puts the total energy at -56.9 eV for the cell shown.

abc: 6.7695 5.5664 5.5664
angles: 120.00 90.00 90.00
Closest atoms and distances in Å follow each position.
Atoms (fractional coordinates):
Pd1 0.1092 0.1634 0.8366  2 Pt 2.73, 8 Pd 2.73-2.84, 1 Au 2.81
Pd2 0.1092 0.1634 0.3268  2 Pt 2.73, 8 Pd 2.73-2.84, 1 Au 2.81
Pd3 0.1165 0.6667 0.3333  3 Pt 2.75, 9 Pd 2.78-2.81
Pd4 0.4555 0.8354 0.1646  7 Pd 2.75-2.83, 2 Pt 2.76, 2 Au 2.78
Pd5 0.4555 0.3291 0.1646  7 Pd 2.75-2.83, 2 Pt 2.76, 2 Au 2.78
Pd6 0.4555 0.8354 0.6709  7 Pd 2.75-2.83, 2 Pt 2.76, 2 Au 2.78
Pd7 0.1092 0.6732 0.8366  2 Pt 2.73, 8 Pd 2.73-2.84, 1 Au 2.81
Pt1 0.7859 0.5009 0.4991  5 Pd 2.73-2.76, 4 Pt 2.77-2.80, 1 Au 2.81
Pt2 0.7859 0.5009 0.0017  5 Pd 2.73-2.76, 4 Pt 2.77-2.80, 1 Au 2.81
Pt3 0.7859 0.9983 0.4991  5 Pd 2.73-2.76, 4 Pt 2.77-2.80, 1 Au 2.81
Au1 0.4467 0.3333 0.6667  9 Pd 2.78-2.81, 3 Pt 2.81

***

3.
The following is a DFT calculation (PBE-GGA) of crystalline Pd3Pt7Au at its relaxed geometry.

Results
The energy relative to the elements is 84 meV per atom. The calculation puts the total energy at -60.2 eV for the cell shown.

abc: 6.8794 5.5433 5.5433
angles: 120.00 90.00 90.00
Closest atoms and distances in Å follow each position.
Atoms (fractional coordinates):
Pd1 0.7853 0.5011 0.4989  5 Pt 2.74-2.78, 4 Pd 2.75-2.79, 1 Au 2.79
Pd2 0.7853 0.5011 0.0022  5 Pt 2.74-2.78, 4 Pd 2.75-2.79, 1 Au 2.79
Pd3 0.7853 0.9978 0.4989  5 Pt 2.74-2.78, 4 Pd 2.75-2.79, 1 Au 2.79
Pt1 0.1070 0.1641 0.8359  8 Pt 2.73-2.87, 2 Pd 2.74, 1 Au 2.89
Pt2 0.1070 0.1641 0.3281  8 Pt 2.73-2.87, 2 Pd 2.74, 1 Au 2.89
Pt3 0.1157 0.6667 0.3333  9 Pt 2.77-2.85, 3 Pd 2.77
Pt4 0.4559 0.8352 0.1648  7 Pt 2.74-2.87, 2 Au 2.77, 2 Pd 2.78
Pt5 0.4559 0.3297 0.1648  7 Pt 2.74-2.87, 2 Au 2.77, 2 Pd 2.78
Pt6 0.4559 0.8352 0.6703  7 Pt 2.74-2.87, 2 Au 2.77, 2 Pd 2.78
Pt7 0.1070 0.6719 0.8359  8 Pt 2.73-2.87, 2 Pd 2.74, 1 Au 2.89
Au1 0.4550 0.3333 0.6667  9 Pt 2.77-2.89, 3 Pd 2.79

***

4.
The following is a DFT calculation (PBE-GGA) of crystalline Pd2Pt2Au at its relaxed geometry.

Results
The energy relative to the elements is 177 meV per atom. The value obtained for the energy above the most stable polymorph in this dataset is 32 meV/atom. The calculation puts the total energy at -49.7 eV for the cell shown.

abc: 7.7823 7.7823 2.7840
angles: 90.00 90.00 90.00
Closest atoms and distances in Å follow each position.
Atoms (fractional coordinates):
Au1 0.0000 0.0000 0.0000  2 Au 2.78, 4 Pd 3.06
Au2 0.5000 0.5000 0.0000  2 Au 2.78, 4 Pd 3.06
Pd1 0.3714 0.8714 0.0000  6 Pt 2.62-2.73, 3 Pd 2.78-2.83
Pd2 0.8714 0.6286 0.0000  6 Pt 2.62-2.73, 3 Pd 2.78-2.83
Pd3 0.6286 0.1286 0.0000  6 Pt 2.62-2.73, 3 Pd 2.78-2.83
Pd4 0.1286 0.3714 0.0000  6 Pt 2.62-2.73, 3 Pd 2.78-2.83
Pt1 0.1698 0.6698 0.5000  6 Pd 2.62-2.73, 2 Pt 2.78
Pt2 0.6698 0.8302 0.5000  6 Pd 2.62-2.73, 2 Pt 2.78
Pt3 0.8302 0.3302 0.5000  6 Pd 2.62-2.73, 2 Pt 2.78
Pt4 0.3302 0.1698 0.5000  6 Pd 2.62-2.73, 2 Pt 2.78

***

Question: total energy of number 3 (Pd3Pt7Au)?
Answer: -60.2 eV for the cell shown

***

Question: The lowest total energy belongs to which entry?
Answer: Pd3Pt7Au

***

Question: Among the records above, which one has the lowest total energy?
Answer: Pd3Pt7Au

***

Question: energy relative to the elements of number 2 (Pd7Pt3Au)?
Answer: 76 meV per atom